GGA-PBE BaHgSb2, optimized geometry; formation energy without anion corrections = -1.957 eV/f.u.; spin magnetization = 0.00 μB/f.u.; E_tot = -3.107 eV/atom
1.0
-6.336 0.271 1.757
-5.638 -3.202 -1.121
-0.986 -3.347 3.801
Ba Sb Hg
1 2 1
Cartesian
-9.720 -4.709 3.328
-11.965 -3.143 0.895
-6.489 -2.927 1.961
-3.240 -1.570 1.109



GGA-PBE BaHgSb2, optimized geometry; formation energy without anion corrections = -2.007 eV/f.u.; spin magnetization = 0.00 μB/f.u.; E_tot = -3.119 eV/atom
1.0
-1.843 2.176 -3.513
-4.566 -4.006 -0.086
-2.849 2.601 3.106
Sb Hg Ba
2 1 1
Cartesian
-2.256 1.596 -0.741
-3.210 1.962 2.899
-6.661 0.429 0.847
-3.687 -1.318 1.118



GGA-PBE BaHgSb2, optimized geometry; formation energy without anion corrections = -1.965 eV/f.u.; spin magnetization = 0.00 μB/f.u.; E_tot = -3.109 eV/atom
1.0
1.112 1.238 -4.854
1.520 -5.365 -1.020
-9.384 -2.706 0.249
Sb Hg Ba
4 2 2
Cartesian
-0.010 -1.388 -0.591
-3.184 -5.023 -1.949
-6.742 -5.445 -5.035
-3.569 -1.809 -3.677
-2.746 -2.123 -0.802
-4.006 -4.710 -4.823
-0.201 -3.866 -3.589
-6.551 -2.966 -2.036



GGA-PBE BaHgSb2, optimized geometry; formation energy without anion corrections = -1.361 eV/f.u.; spin magnetization = 0.00 μB/f.u.; E_tot = -2.957 eV/atom
1.0
-0.994 -0.802 -5.865
5.449 -0.496 -2.468
-2.325 -2.958 4.677
Ba Sb Hg
1 2 1
Cartesian
2.227 -0.649 -4.167
0.000 0.000 0.000
2.675 -2.052 -0.979
-0.546 -2.205 -2.677



GGA-PBE BaHg5Sb2, optimized geometry; formation energy without anion corrections = -1.412 eV/f.u.; spin magnetization = 0.00 μB/f.u.; E_tot = -1.636 eV/atom
1.0
4.832 -0.087 -1.379
-1.132 8.686 -4.428
0.400 -8.220 11.042
Sb Hg Ba
2 5 1
Cartesian
-0.588 6.903 -2.372
4.688 -6.523 7.607
3.374 -1.135 2.784
3.961 -3.340 4.882
0.727 1.514 2.450
0.000 0.000 0.000
0.140 3.719 0.353
1.850 4.299 -2.904



GGA-PBE BaHg2Sb, optimized geometry; formation energy without anion corrections = -1.394 eV/f.u.; spin magnetization = 0.00 μB/f.u.; E_tot = -2.011 eV/atom
1.0
3.929 0.000 0.000
0.000 4.308 0.000
0.000 0.000 7.365
Sb Hg Ba
1 2 1
Cartesian
1.964 2.154 1.841
0.000 0.000 0.217
0.000 0.000 3.466
1.964 2.154 5.524



Question: E_tot of number 2 (BaHgSb2)?
Answer: -3.119 eV/atom



Question: Which value of formation energy without anion corrections does entry 6 give?
Answer: -1.394 eV/f.u.



Question: The lowest formation energy without anion corrections belongs to which entry?
Answer: number 2